(1)
ThRuN2: relaxed, PBE.

Unit cell a=3.5571 b=3.5571 c=5.0971 alpha=69.58 beta=69.58 gamma=60.00
With the nearest neighbours (Å) after each atom.
Fractional coordinates of all 4 atoms:
Ru 0.0000 0.0000 0.0000  6 N 2.26
N 0.2660 0.2660 0.2020  3 Ru 2.26, 3 Th 2.48
N 0.7340 0.7340 0.7980  3 Ru 2.26, 3 Th 2.48
Th 0.5000 0.5000 0.5000  6 N 2.48

Output
Total magnetic moment   0.000 μB/atom
Calculated total energy   -9.1033 eV/atom

(2)
Hf3Ti2Ga7: relaxed, PBE.

Unit cell a=4.9478 b=4.8556 c=9.8545 alpha=104.26 beta=90.00 gamma=90.00
With the nearest neighbours (Å) after each atom.
Fractional coordinates of all 12 atoms:
Hf 0.5000 0.6579 0.3159  6 Ga 2.74-2.92, 1 Hf 3.02
Hf 0.5000 0.3421 0.6841  6 Ga 2.74-2.92, 1 Hf 3.02
Hf 0.5000 0.5000 0.0000  8 Ga 2.87-2.88, 2 Hf 3.02
Ga 0.5000 0.9202 0.8403  2 Ti 2.75, 4 Hf 2.85-2.87, 3 Ga 2.91-3.05
Ga 0.0000 0.0000 0.0000  2 Ti 2.72, 8 Ga 2.84-2.91
Ga 0.0000 0.7199 0.4398  3 Ti 2.63-2.84, 3 Ga 2.69-2.73, 2 Hf 2.74
Ga 0.5000 0.0798 0.1597  2 Ti 2.75, 4 Hf 2.85-2.87, 3 Ga 2.91-3.05
Ga 0.0000 0.4231 0.8462  2 Ti 2.73, 4 Ga 2.73-2.94, 4 Hf 2.88-2.92
Ga 0.0000 0.2801 0.5602  3 Ti 2.63-2.84, 3 Ga 2.69-2.73, 2 Hf 2.74
Ga 0.0000 0.5769 0.1538  2 Ti 2.73, 4 Ga 2.73-2.94, 4 Hf 2.88-2.92
Ti 0.0000 0.8578 0.7155  8 Ga 2.63-2.84
Ti 0.0000 0.1422 0.2845  8 Ga 2.63-2.84

Output
ΔE_f   -0.0283 eV per atom
Total magnetic moment   0.000 μB/atom
DOS at the Fermi energy   8.79 states/eV/f.u.

(3)
La3Sm3Y: relaxed, PBE.

Unit cell a=5.9058 b=9.8401 c=9.8401 alpha=120.00 beta=90.00 gamma=90.00
With the nearest neighbours (Å) after each atom.
Fractional coordinates of all 14 atoms:
La 0.2500 0.8032 0.0450  5 Sm 3.63-3.78, 6 La 3.68-3.80, 1 Y 3.70
La 0.2500 0.9550 0.7582  5 Sm 3.63-3.78, 6 La 3.68-3.80, 1 Y 3.70
La 0.7500 0.0450 0.2418  5 Sm 3.63-3.78, 6 La 3.68-3.80, 1 Y 3.70
La 0.7500 0.7582 0.8032  5 Sm 3.63-3.78, 6 La 3.68-3.80, 1 Y 3.70
La 0.7500 0.1968 0.9550  5 Sm 3.63-3.78, 6 La 3.68-3.80, 1 Y 3.70
La 0.2500 0.2418 0.1968  5 Sm 3.63-3.78, 6 La 3.68-3.80, 1 Y 3.70
Sm 0.2500 0.0951 0.4798  4 Sm 3.62-3.70, 5 La 3.63-3.78, 3 Y 3.65-3.71
Sm 0.7500 0.4798 0.3847  4 Sm 3.62-3.70, 5 La 3.63-3.78, 3 Y 3.65-3.71
Sm 0.2500 0.3847 0.9049  4 Sm 3.62-3.70, 5 La 3.63-3.78, 3 Y 3.65-3.71
Sm 0.7500 0.9049 0.5202  4 Sm 3.62-3.70, 5 La 3.63-3.78, 3 Y 3.65-3.71
Sm 0.2500 0.5202 0.6153  4 Sm 3.62-3.70, 5 La 3.63-3.78, 3 Y 3.65-3.71
Sm 0.7500 0.6153 0.0951  4 Sm 3.62-3.70, 5 La 3.63-3.78, 3 Y 3.65-3.71
Y 0.2500 0.6667 0.3333  9 Sm 3.65-3.71, 3 La 3.70
Y 0.7500 0.3333 0.6667  9 Sm 3.65-3.71, 3 La 3.70

Output
ΔE_f   0.0298 eV per atom
Total magnetic moment   0.000 μB/atom
Energy above the lowest structure with this stoichiometry   0.000 eV per atom
DOS at the Fermi energy   11.88 states/eV/f.u.

(4)
MnSnSb2Au: relaxed, PBE.

Unit cell a=5.5398 b=5.5398 c=5.3521 alpha=90.00 beta=90.00 gamma=90.00
With the nearest neighbours (Å) after each atom.
Fractional coordinates of all 5 atoms:
Sn 0.0000 0.0000 0.5000  2 Au 2.68
Sb 0.0000 0.5000 0.0000  2 Au 2.77
Sb 0.5000 0.0000 0.0000  2 Au 2.77
Au 0.0000 0.0000 0.0000  2 Sn 2.68, 4 Sb 2.77
Mn 0.5000 0.5000 0.5000  8 Sb 3.85, 4 Sn 3.92

Output
Total magnetic moment   0.879 μB/atom
DOS at the Fermi energy   4.17 states/eV/f.u.
Calculated total energy   -4.1445 eV/atom

(5)
Ac2CdPb3: relaxed, PBE.

Unit cell a=4.3365 b=5.0721 c=9.2888 alpha=90.00 beta=90.00 gamma=90.00
With the nearest neighbours (Å) after each atom.
Fractional coordinates of all 6 atoms:
Pb 0.5000 0.5000 0.6498  1 Cd 2.95, 2 Pb 3.09
Pb 0.5000 0.0000 0.8406  3 Pb 3.09-3.13
Pb 0.5000 0.0000 0.1779  2 Cd 2.91, 1 Pb 3.13
Ac 0.0000 0.0000 0.5062  8 Pb 3.59-3.79, 4 Cd 3.71
Ac 0.0000 0.5000 0.9935  10 Pb 3.63-3.86, 2 Cd 3.82
Cd 0.5000 0.5000 0.3320  3 Pb 2.91-2.95

Output
ΔE_f   -0.3376 eV per atom
Total magnetic moment   0.000 μB/atom
DOS at the Fermi energy   3.98 states/eV/f.u.

(6)
Sc2CoPt: relaxed, PBE.

Unit cell a=6.9623 b=6.9623 c=5.7025 alpha=52.38 beta=52.38 gamma=90.00
With the nearest neighbours (Å) after each atom.
Fractional coordinates of all 8 atoms:
Pt 0.7500 0.2500 0.5000  4 Sc 2.69, 2 Co 2.88
Pt 0.0000 0.0000 0.0000  4 Sc 2.69, 2 Co 2.88
Co 0.2500 0.7500 0.5000  4 Sc 2.45
Co 0.5000 0.5000 0.0000  4 Sc 2.45
Sc 0.5995 0.1250 0.2500  2 Co 2.45, 2 Pt 2.69
Sc 0.8750 0.8495 0.7500  2 Co 2.45, 2 Pt 2.69
Sc 0.1505 0.6250 0.2500  2 Co 2.45, 2 Pt 2.69
Sc 0.3750 0.4005 0.7500  2 Co 2.45, 2 Pt 2.69

Output
ΔE_f   -0.3947 eV per atom
Total magnetic moment   0.000 μB/atom
DOS at the Fermi energy   1.84 states/eV/f.u.